[1]
! NaAc5Mg4 | Alexandria | PBE-GGA | optimized geometry; values from VASP
&SYSTEM
  ibrav = 0, nat = 10, ntyp = 3
/
ATOMIC_SPECIES
Na 22.99 Na.upf
Ac 227.00 Ac.upf
Mg 24.30 Mg.upf
CELL_PARAMETERS angstrom
4.1335 0.0000 0.0000
0.0000 4.1335 0.0000
0.0000 0.0000 21.1284
ATOMIC_POSITIONS crystal
Na 0.0000 0.0000 0.0000
Ac 0.5000 0.5000 0.1148
Ac 0.5000 0.5000 0.3055
Ac 0.5000 0.5000 0.5000
Ac 0.5000 0.5000 0.6945
Ac 0.5000 0.5000 0.8852
Mg 0.0000 0.0000 0.2097
Mg 0.0000 0.0000 0.4022
Mg 0.0000 0.0000 0.5978
Mg 0.0000 0.0000 0.7903
! Energy of formation in eV per atom: -0.0300
! Total moment in μB/f.u.: 0.0
! Space-group type: No. 123

[2]
! LiLa2N | Alexandria | PBE-GGA | optimized geometry; values from VASP
&SYSTEM
  ibrav = 0, nat = 4, ntyp = 3
/
ATOMIC_SPECIES
Li 6.94 Li.upf
La 138.91 La.upf
N 14.01 N.upf
CELL_PARAMETERS angstrom
1.8241 1.0531 9.2382
-1.8241 1.0531 9.2382
0.0000 -2.1062 9.2382
ATOMIC_POSITIONS crystal
Li 0.0000 0.0000 0.0000
La 0.2190 0.2190 0.2190
La 0.4502 0.4502 0.4502
N 0.8341 0.8341 0.8341
! Energy relative to the elements, uncorrected in eV per atom: -0.62
! Total moment in μB/f.u.: 0.0
! Space-group type: No. 160

[3]
! NaLiBi2H | Alexandria | PBE-GGA | optimized geometry; values from VASP
&SYSTEM
  ibrav = 0, nat = 5, ntyp = 4
/
ATOMIC_SPECIES
Na 22.99 Na.upf
Li 6.94 Li.upf
Bi 208.98 Bi.upf
H 1.01 H.upf
CELL_PARAMETERS angstrom
4.9752 0.0000 0.0000
0.0000 4.9752 0.0000
0.0000 0.0000 4.4462
ATOMIC_POSITIONS crystal
Na 0.0000 0.0000 0.0000
Li 0.5000 0.5000 0.0000
Bi 0.0000 0.5000 0.5000
Bi 0.5000 0.0000 0.5000
H 0.5000 0.5000 0.5000
! Total moment in μB/f.u.: 0.0
! Space-group type: No. 123
! Electronic total energy in eV per atom: -2.95

[4]
! CaZrCl2 | Alexandria | PBE-GGA | optimized geometry; values from VASP
&SYSTEM
  ibrav = 0, nat = 4, ntyp = 3
/
ATOMIC_SPECIES
Ca 40.08 Ca.upf
Zr 91.22 Zr.upf
Cl 35.45 Cl.upf
CELL_PARAMETERS angstrom
4.3304 -1.6942 0.0000
4.3304 1.6942 0.0000
-1.3257 0.0000 5.8847
ATOMIC_POSITIONS crystal
Ca 0.0000 0.0000 0.0000
Zr 0.5000 0.5000 0.5000
Cl 0.2387 0.2387 0.7181
Cl 0.7613 0.7613 0.2819
! Energy relative to the elements, uncorrected in eV per atom: -0.99
! Energy above the lowest structure with this stoichiometry in meV per atom: 181
! Total moment in μB/f.u.: 0.0
! Space-group type: No. 12

[5]
! Li6GeBi | Alexandria | PBE-GGA | optimized geometry; values from VASP
&SYSTEM
  ibrav = 0, nat = 8, ntyp = 3
/
ATOMIC_SPECIES
Li 6.94 Li.upf
Ge 72.64 Ge.upf
Bi 208.98 Bi.upf
CELL_PARAMETERS angstrom
5.9133 0.0000 0.0000
-2.9566 5.1210 0.0000
0.0000 0.0000 4.7310
ATOMIC_POSITIONS crystal
Li 0.0086 0.5043 0.0000
Li 0.3061 0.1530 0.5000
Li 0.4957 0.5043 0.0000
Li 0.4957 0.9914 0.0000
Li 0.8470 0.1530 0.5000
Li 0.8470 0.6939 0.5000
Ge 0.0000 0.0000 0.0000
Bi 0.3333 0.6667 0.5000
! Energy of formation in eV per atom: -0.3316
! Total moment in μB/f.u.: 0.0
! Space-group type: No. 187

[6]
! K2MgMnGa | Alexandria | PBE-GGA | optimized geometry; values from VASP
&SYSTEM
  ibrav = 0, nat = 5, ntyp = 4
/
ATOMIC_SPECIES
K 39.10 K.upf
Mg 24.30 Mg.upf
Mn 54.94 Mn.upf
Ga 69.72 Ga.upf
CELL_PARAMETERS angstrom
6.3349 0.0000 0.0000
0.0000 6.3349 0.0000
0.0000 0.0000 4.6215
ATOMIC_POSITIONS crystal
K 0.0000 0.5000 0.0000
K 0.5000 0.0000 0.0000
Mg 0.0000 0.0000 0.5000
Mn 0.5000 0.5000 0.5000
Ga 0.5000 0.5000 0.0000
! Energy of formation in eV per atom: 0.5714
! Total moment in μB/f.u.: 4.2
! Space-group type: No. 123

[7]
! Th5IrPt4 | Alexandria | PBE-GGA | optimized geometry; values from VASP
&SYSTEM
  ibrav = 0, nat = 10, ntyp = 3
/
ATOMIC_SPECIES
Th 232.04 Th.upf
Ir 192.22 Ir.upf
Pt 195.08 Pt.upf
CELL_PARAMETERS angstrom
-4.6806 4.6806 2.9566
4.6806 -4.6806 2.9566
4.6806 4.6806 -2.9566
ATOMIC_POSITIONS crystal
Th 0.0000 0.0000 0.0000
Th 0.2066 0.5988 0.8054
Th 0.4012 0.2066 0.6078
Th 0.5988 0.7934 0.3922
Th 0.7934 0.4012 0.1946
Ir 0.5000 0.5000 0.0000
Pt 0.0976 0.3016 0.3992
Pt 0.3016 0.9024 0.2040
Pt 0.6984 0.0976 0.7960
Pt 0.9024 0.6984 0.6008
! Energy of formation in eV per atom: -1.1713
! Total moment in μB/f.u.: 0.0
! Space-group type: No. 87

[8]
! PrNd4Er5 | Alexandria | PBE-GGA | optimized geometry; values from VASP
&SYSTEM
  ibrav = 0, nat = 10, ntyp = 3
/
ATOMIC_SPECIES
Pr 140.91 Pr.upf
Nd 144.24 Nd.upf
Er 167.26 Er.upf
CELL_PARAMETERS angstrom
3.5417 0.0000 0.0000
1.7701 8.5951 0.0000
0.0060 0.0519 11.3090
ATOMIC_POSITIONS crystal
Pr 0.0000 0.0000 0.0000
Nd 0.1611 0.6855 0.2498
Nd 0.4698 0.0643 0.2531
Nd 0.5302 0.9357 0.7469
Nd 0.8389 0.3145 0.7502
Er 0.0000 0.0000 0.5000
Er 0.3235 0.3502 0.0524
Er 0.3261 0.3456 0.4544
Er 0.6739 0.6544 0.5456
Er 0.6765 0.6498 0.9476
! Energy above the lowest structure with this stoichiometry in meV per atom: 0
! Energy of formation in eV per atom: 0.1973
! Total moment in μB/f.u.: 0.0
! Space-group type: No. 2

Please write out number 7 again, unchanged.
! Th5IrPt4 | Alexandria | PBE-GGA | optimized geometry; values from VASP
&SYSTEM
  ibrav = 0, nat = 10, ntyp = 3
/
ATOMIC_SPECIES
Th 232.04 Th.upf
Ir 192.22 Ir.upf
Pt 195.08 Pt.upf
CELL_PARAMETERS angstrom
-4.6806 4.6806 2.9566
4.6806 -4.6806 2.9566
4.6806 4.6806 -2.9566
ATOMIC_POSITIONS crystal
Th 0.0000 0.0000 0.0000
Th 0.2066 0.5988 0.8054
Th 0.4012 0.2066 0.6078
Th 0.5988 0.7934 0.3922
Th 0.7934 0.4012 0.1946
Ir 0.5000 0.5000 0.0000
Pt 0.0976 0.3016 0.3992
Pt 0.3016 0.9024 0.2040
Pt 0.6984 0.0976 0.7960
Pt 0.9024 0.6984 0.6008
! Energy of formation in eV per atom: -1.1713
! Total moment in μB/f.u.: 0.0
! Space-group type: No. 87

Among the records above, which one has the highest total moment? K2MgMnGa